1.
Below is AcTh2PtN4 after structural relaxation, with properties calculated at the PBE-GGA level.

Lattice parameters (Å, degrees): 6.4088 6.4088 12.3052 90.00 90.00 147.21
Last column: nearest neighbours and their distance in Å.
Fractional coordinates of all 16 atoms:
Ac (0.1091, 0.8909, 0.7500)  6 N 2.66-2.90
Ac (0.8909, 0.1091, 0.2500)  6 N 2.66-2.90
Th (0.3697, 0.6303, 0.5563)  6 N 2.38-2.59
Th (0.3697, 0.6303, 0.9437)  6 N 2.38-2.59
Th (0.6303, 0.3697, 0.0563)  6 N 2.38-2.59
Th (0.6303, 0.3697, 0.4437)  6 N 2.38-2.59
Pt (0.1538, 0.8462, 0.2500)  4 N 2.22-2.25
Pt (0.8462, 0.1538, 0.7500)  4 N 2.22-2.25
N (0.0000, 0.0000, 0.0000)  4 Th 2.51
N (0.0000, 0.0000, 0.5000)  4 Th 2.51
N (0.2714, 0.7286, 0.1102)  1 Pt 2.25, 1 Th 2.38
N (0.2714, 0.7286, 0.3898)  1 Pt 2.25, 1 Th 2.38
N (0.4507, 0.5493, 0.7500)  2 Pt 2.22
N (0.5493, 0.4507, 0.2500)  2 Pt 2.22
N (0.7286, 0.2714, 0.6102)  1 Pt 2.25, 1 Th 2.38
N (0.7286, 0.2714, 0.8898)  1 Pt 2.25, 1 Th 2.38

***

2.
Below is Ac5Tl2PtN after structural relaxation, with properties calculated at the PBE-GGA level.

Lattice parameters (Å, degrees): 10.2708 10.2708 14.7661 90.00 90.00 155.80
Last column: nearest neighbours and their distance in Å.
Fractional coordinates of all 18 atoms:
Ac (0.0075, 0.9925, 0.5000)  1 N 2.37
Ac (0.1603, 0.8397, 0.7265)  1 Pt 3.01
Ac (0.1683, 0.8317, 0.1020)  1 N 2.56
Ac (0.2084, 0.7916, 0.3875)  2 Pt 3.02
Ac (0.4696, 0.5304, 0.7273)  2 N 2.50
Ac (0.5304, 0.4696, 0.2273)  2 N 2.50
Ac (0.7916, 0.2084, 0.8875)  2 Pt 3.02
Ac (0.8317, 0.1683, 0.6020)  1 N 2.56
Ac (0.8397, 0.1603, 0.2265)  1 Pt 3.01
Ac (0.9925, 0.0075, 0.0000)  1 N 2.37
Tl (0.3611, 0.6389, 0.0475)  6 Ac 3.44-3.49
Tl (0.3860, 0.6140, 0.4052)  8 Ac 3.53-3.91
Tl (0.6140, 0.3860, 0.9052)  8 Ac 3.53-3.91
Tl (0.6389, 0.3611, 0.5475)  6 Ac 3.44-3.49
Pt (0.3096, 0.6904, 0.7464)  6 Ac 3.01-3.23
Pt (0.6904, 0.3096, 0.2464)  6 Ac 3.01-3.23
N (0.0449, 0.9551, 0.1440)  4 Ac 2.37-2.56
N (0.9551, 0.0449, 0.6440)  4 Ac 2.37-2.56

***

3.
Below is Ac2PuN3 after structural relaxation, with properties calculated at the PBE-GGA level.

Lattice parameters (Å, degrees): 3.9007 4.3210 13.8441 90.00 90.00 90.00
Last column: nearest neighbours and their distance in Å.
Fractional coordinates of all 12 atoms:
Ac (0.0000, 0.0000, 0.1520)  3 N 2.56-2.87
Ac (0.0000, 0.0000, 0.8480)  3 N 2.56-2.87
Ac (0.5000, 0.5000, 0.3480)  3 N 2.56-2.87
Ac (0.5000, 0.5000, 0.6520)  3 N 2.56-2.87
Pu (0.0000, 0.0000, 0.5000)  4 N 2.16-2.25
Pu (0.5000, 0.5000, 0.0000)  4 N 2.16-2.25
N (0.0000, 0.0000, 0.3372)  1 Pu 2.25
N (0.0000, 0.0000, 0.6628)  1 Pu 2.25
N (0.0000, 0.5000, 0.5000)  2 Pu 2.16
N (0.5000, 0.0000, 0.0000)  2 Pu 2.16
N (0.5000, 0.5000, 0.1628)  1 Pu 2.25
N (0.5000, 0.5000, 0.8372)  1 Pu 2.25

***

4.
Below is Ac3Pu4N9 after structural relaxation, with properties calculated at the PBE-GGA level.

Lattice parameters (Å, degrees): 9.0853 9.0853 9.0853 39.11 39.11 39.11
Last column: nearest neighbours and their distance in Å.
Fractional coordinates of all 16 atoms:
Ac (0.0000, 0.0000, 0.0000)  6 N 2.69-2.78
Ac (0.1650, 0.1650, 0.1650)  6 N 2.65-2.77
Ac (0.5871, 0.5871, 0.5871)  3 N 2.66
Pu (0.3005, 0.3005, 0.3005)  6 N 2.19-2.23
Pu (0.4291, 0.4291, 0.4291)  3 N 2.22
Pu (0.7359, 0.7359, 0.7359)  3 N 2.23
Pu (0.8637, 0.8637, 0.8637)  6 N 2.21-2.22
N (0.0180, 0.1445, 0.5835)  2 Pu 2.21-2.23
N (0.0231, 0.5809, 0.4513)  2 Pu 2.19-2.23
N (0.1286, 0.7239, 0.5744)  2 Pu 2.22
N (0.1445, 0.5835, 0.0180)  2 Pu 2.21-2.23
N (0.4513, 0.0231, 0.5809)  2 Pu 2.19-2.23
N (0.5744, 0.1286, 0.7239)  2 Pu 2.22
N (0.5809, 0.4513, 0.0231)  2 Pu 2.19-2.23
N (0.5835, 0.0180, 0.1445)  2 Pu 2.21-2.23
N (0.7239, 0.5744, 0.1286)  2 Pu 2.22

***

5.
Below is Ac6PuN8 after structural relaxation, with properties calculated at the PBE-GGA level.

Lattice parameters (Å, degrees): 7.6259 7.6259 7.6259 60.00 60.00 60.00
Last column: nearest neighbours and their distance in Å.
Fractional coordinates of all 15 atoms:
Ac (0.0000, 0.0000, 0.5000)  6 N 2.70-2.74
Ac (0.0000, 0.5000, 0.0000)  6 N 2.70-2.74
Ac (0.0000, 0.5000, 0.5000)  6 N 2.70-2.74
Ac (0.5000, 0.0000, 0.0000)  6 N 2.70-2.74
Ac (0.5000, 0.0000, 0.5000)  6 N 2.70-2.74
Ac (0.5000, 0.5000, 0.0000)  6 N 2.70-2.74
Pu (0.0000, 0.0000, 0.0000)  6 N 2.20
N (0.2041, 0.2041, 0.7959)  1 Pu 2.20
N (0.2041, 0.7959, 0.2041)  1 Pu 2.20
N (0.2041, 0.7959, 0.7959)  1 Pu 2.20
N (0.2500, 0.2500, 0.2500)  6 Ac 2.70
N (0.7500, 0.7500, 0.7500)  6 Ac 2.70
N (0.7959, 0.2041, 0.2041)  1 Pu 2.20
N (0.7959, 0.2041, 0.7959)  1 Pu 2.20
N (0.7959, 0.7959, 0.2041)  1 Pu 2.20

***

6.
Below is AcPuN4 after structural relaxation, with properties calculated at the PBE-GGA level.

Lattice parameters (Å, degrees): 6.6618 6.6618 7.6853 103.75 103.75 55.49
Last column: nearest neighbours and their distance in Å.
Fractional coordinates of all 12 atoms:
Ac (0.1401, 0.1401, 0.4104)  3 N 2.46-2.55
Ac (0.8599, 0.8599, 0.5896)  3 N 2.46-2.55
Pu (0.4986, 0.4986, 0.2825)  3 N 2.00-2.22
Pu (0.5014, 0.5014, 0.7175)  3 N 2.00-2.22
N (0.1897, 0.7878, 0.9200)  1 N 1.19
N (0.2122, 0.8103, 0.0800)  1 N 1.19
N (0.2639, 0.7361, 0.5000)  2 Pu 2.22
N (0.3257, 0.3257, 0.6528)  1 Pu 2.00
N (0.6743, 0.6743, 0.3472)  1 Pu 2.00
N (0.7361, 0.2639, 0.5000)  2 Pu 2.22
N (0.7878, 0.1897, 0.9200)  1 N 1.19
N (0.8103, 0.2122, 0.0800)  1 N 1.19

***

7.
Below is Ac3PuN4 after structural relaxation, with properties calculated at the PBE-GGA level.

Lattice parameters (Å, degrees): 8.2816 7.1530 6.2713 90.00 90.00 90.00
Last column: nearest neighbours and their distance in Å.
Fractional coordinates of all 16 atoms:
Ac (0.0000, 0.1520, 0.0000)  4 N 2.51-2.59
Ac (0.2494, 0.3286, 0.4995)  4 N 2.52-2.60
Ac (0.2506, 0.6714, 0.9995)  4 N 2.52-2.60
Ac (0.5000, 0.8480, 0.5000)  4 N 2.51-2.59
Ac (0.7494, 0.6714, 0.9995)  4 N 2.52-2.60
Ac (0.7506, 0.3286, 0.4995)  4 N 2.52-2.60
Pu (0.0000, 0.8254, 0.4991)  4 N 2.22-2.30
Pu (0.5000, 0.1746, 0.9991)  4 N 2.22-2.30
N (0.0000, 0.1371, 0.5870)  1 Pu 2.30, 2 Ac 2.54
N (0.0000, 0.8247, 0.1447)  1 Pu 2.22
N (0.2367, 0.6766, 0.5858)  1 Pu 2.30, 2 Ac 2.55-2.56
N (0.2633, 0.3234, 0.0858)  1 Pu 2.30, 2 Ac 2.55-2.56
N (0.5000, 0.1753, 0.6447)  1 Pu 2.22
N (0.5000, 0.8629, 0.0870)  1 Pu 2.30, 2 Ac 2.54
N (0.7367, 0.3234, 0.0858)  1 Pu 2.30, 2 Ac 2.55-2.56
N (0.7633, 0.6766, 0.5858)  1 Pu 2.30, 2 Ac 2.55-2.56

***

8.
Below is AcPu7N12 after structural relaxation, with properties calculated at the PBE-GGA level.

Lattice parameters (Å, degrees): 7.2244 7.2244 7.2244 109.47 109.47 109.47
Last column: nearest neighbours and their distance in Å.
Fractional coordinates of all 20 atoms:
Ac (0.0000, 0.0000, 0.0000)  12 N 2.99
Pu (0.0000, 0.0000, 0.5000)  6 N 2.21
Pu (0.0000, 0.5000, 0.0000)  6 N 2.21
Pu (0.0000, 0.5000, 0.5000)  4 N 2.23
Pu (0.5000, 0.0000, 0.0000)  6 N 2.21
Pu (0.5000, 0.0000, 0.5000)  4 N 2.23
Pu (0.5000, 0.5000, 0.0000)  4 N 2.23
Pu (0.5000, 0.5000, 0.5000)  6 N 2.21
N (0.1215, 0.8147, 0.3068)  3 Pu 2.21-2.23
N (0.1853, 0.3068, 0.4921)  3 Pu 2.21-2.23
N (0.1853, 0.6932, 0.8785)  3 Pu 2.21-2.23
N (0.3068, 0.1215, 0.8147)  3 Pu 2.21-2.23
N (0.3068, 0.4921, 0.1853)  3 Pu 2.21-2.23
N (0.4921, 0.1853, 0.3068)  3 Pu 2.21-2.23
N (0.5079, 0.8147, 0.6932)  3 Pu 2.21-2.23
N (0.6932, 0.5079, 0.8147)  3 Pu 2.21-2.23
N (0.6932, 0.8785, 0.1853)  3 Pu 2.21-2.23
N (0.8147, 0.3068, 0.1215)  3 Pu 2.21-2.23
N (0.8147, 0.6932, 0.5079)  3 Pu 2.21-2.23
N (0.8785, 0.1853, 0.6932)  3 Pu 2.21-2.23

***

9.
Below is Ac2PuN4 after structural relaxation, with properties calculated at the PBE-GGA level.

Lattice parameters (Å, degrees): 4.2545 4.2545 13.3643 90.00 90.00 90.00
Last column: nearest neighbours and their distance in Å.
Fractional coordinates of all 14 atoms:
Ac (0.0000, 0.0000, 0.1463)  1 N 2.54
Ac (0.0000, 0.0000, 0.8537)  1 N 2.54
Ac (0.5000, 0.5000, 0.3537)  1 N 2.54
Ac (0.5000, 0.5000, 0.6463)  1 N 2.54
Pu (0.0000, 0.0000, 0.5000)  6 N 2.13-2.19
Pu (0.5000, 0.5000, 0.0000)  6 N 2.13-2.19
N (0.0000, 0.0000, 0.3364)  1 Pu 2.19
N (0.0000, 0.0000, 0.6636)  1 Pu 2.19
N (0.0000, 0.5000, 0.0000)  2 Pu 2.13
N (0.0000, 0.5000, 0.5000)  2 Pu 2.13
N (0.5000, 0.0000, 0.0000)  2 Pu 2.13
N (0.5000, 0.0000, 0.5000)  2 Pu 2.13
N (0.5000, 0.5000, 0.1636)  1 Pu 2.19
N (0.5000, 0.5000, 0.8364)  1 Pu 2.19

***

10.
Below is AcPu3N after structural relaxation, with properties calculated at the PBE-GGA level.

Lattice parameters (Å, degrees): 4.9869 4.9869 4.9869 90.00 90.00 90.00
Last column: nearest neighbours and their distance in Å.
Fractional coordinates of all 5 atoms:
Ac (0.0000, 0.0000, 0.0000)  12 Pu 3.53
Pu (0.0000, 0.5000, 0.5000)  2 N 2.49
Pu (0.5000, 0.0000, 0.5000)  2 N 2.49
Pu (0.5000, 0.5000, 0.0000)  2 N 2.49
N (0.5000, 0.5000, 0.5000)  6 Pu 2.49

***

no.,formation energy (no corrections) (eV per atom)
1,-1.104
2,-0.680
3,-1.037
4,-1.071
5,-1.014
6,-0.502
7,-1.069
8,-1.024
9,-1.120
10,-0.188